An optimized crystal structure of Tm2BeAg. Source: Alexandria via LeMat-Bulk, functional GGA-PBE.

**ΔE_f**: -0.086 eV/atom
**Space-group type**: Fm-3m

a b c (Å): 6.9890 6.9890 6.9890
angles (deg): 90.00 90.00 90.00
Fractional coordinates of all 16 atoms:
Tm1 0.2500 0.2500 0.2500
Tm2 0.2500 0.2500 0.7500
Tm3 0.2500 0.7500 0.2500
Tm4 0.2500 0.7500 0.7500
Tm5 0.7500 0.2500 0.2500
Tm6 0.7500 0.2500 0.7500
Tm7 0.7500 0.7500 0.2500
Tm8 0.7500 0.7500 0.7500
Be1 0.0000 0.0000 0.0000
Be2 0.0000 0.5000 0.5000
Be3 0.5000 0.0000 0.5000
Be4 0.5000 0.5000 0.0000
Ag1 0.0000 0.0000 0.5000
Ag2 0.0000 0.5000 0.0000
Ag3 0.5000 0.0000 0.0000
Ag4 0.5000 0.5000 0.5000

***

An optimized crystal structure of NdZnSnPt. Source: Alexandria via LeMat-Bulk, functional GGA-PBE.

**ΔE_f**: -0.650 eV/atom
**Space-group type**: F-43m

a b c (Å): 6.9822 6.9822 6.9822
angles (deg): 90.00 90.00 90.00
Fractional coordinates of all 16 atoms:
Nd1 0.0000 0.0000 0.0000
Nd2 0.0000 0.5000 0.5000
Nd3 0.5000 0.0000 0.5000
Nd4 0.5000 0.5000 0.0000
Zn1 0.2500 0.2500 0.2500
Zn2 0.2500 0.7500 0.7500
Zn3 0.7500 0.2500 0.7500
Zn4 0.7500 0.7500 0.2500
Sn1 0.0000 0.0000 0.5000
Sn2 0.0000 0.5000 0.0000
Sn3 0.5000 0.0000 0.0000
Sn4 0.5000 0.5000 0.5000
Pt1 0.2500 0.2500 0.7500
Pt2 0.2500 0.7500 0.2500
Pt3 0.7500 0.2500 0.2500
Pt4 0.7500 0.7500 0.7500

***

An optimized crystal structure of LiRePS2. Source: Alexandria via LeMat-Bulk, functional GGA-PBE.

**Space-group type**: P4/mmm
**Formation energy without anion corrections**: 5.98 eV/f.u.

a b c (Å): 4.2316 4.2316 4.1344
angles (deg): 90.00 90.00 90.00
Fractional coordinates of all 5 atoms:
Li1 0.0000 0.0000 0.0000
Re1 0.5000 0.5000 0.5000
P1 0.0000 0.0000 0.5000
S1 0.0000 0.5000 0.0000
S2 0.5000 0.0000 0.0000

***

Number 1: spin magnetization 0.00 μB per cell, V 21.3 Å³/atom. Number 2: spin magnetization 0.00 μB per cell, V 21.3 Å³/atom. Number 3: spin magnetization 0.00 μB per cell, V 14.8 Å³/atom.